No. 1
## LiHg3GeS4 (PBE)

Data for crystalline LiHg3GeS4 at its relaxed geometry.

a = 6.8365 Å, b = 7.0858 Å, c = 10.0943 Å
α = 90.00°, β = 107.90°, γ = 90.00°
With the nearest neighbours (Å) after each atom.
Element x y z (fractional)
Li: 0.0151 0.2500 0.3151  4 S 2.46-2.52
Li: 0.9849 0.7500 0.6849  4 S 2.46-2.52
Hg: 0.2675 0.0523 0.0283  2 S 2.53-2.68, 1 Hg 2.80
Hg: 0.2675 0.4477 0.0283  2 S 2.53-2.68, 1 Hg 2.80
Hg: 0.4455 0.2500 0.6374  3 S 2.38-2.59
Hg: 0.5545 0.7500 0.3626  3 S 2.38-2.59
Hg: 0.7325 0.5523 0.9717  2 S 2.53-2.68, 1 Hg 2.80
Hg: 0.7325 0.9477 0.9717  2 S 2.53-2.68, 1 Hg 2.80
Ge: 0.0239 0.7500 0.2352  3 S 2.30-2.35
Ge: 0.9761 0.2500 0.7648  3 S 2.30-2.35
S: 0.0797 0.2500 0.5688  1 Ge 2.30, 1 Hg 2.38, 1 Li 2.46
S: 0.2630 0.5007 0.2903  1 Ge 2.35, 1 Li 2.52, 1 Hg 2.59
S: 0.2630 0.9993 0.2903  1 Ge 2.35, 1 Li 2.52, 1 Hg 2.59
S: 0.2819 0.7500 0.8981  1 Li 2.46, 2 Hg 2.53
S: 0.7181 0.2500 0.1019  1 Li 2.46, 2 Hg 2.53
S: 0.7370 0.0007 0.7097  1 Ge 2.35, 1 Li 2.52, 1 Hg 2.59
S: 0.7370 0.4993 0.7097  1 Ge 2.35, 1 Li 2.52, 1 Hg 2.59
S: 0.9203 0.7500 0.4312  1 Ge 2.30, 1 Hg 2.38, 1 Li 2.46

offset from the most stable computed form = 0.000 kcal/mol of atoms
calculated volume = 465 Å³ per cell
uncorrected energy = -2.872 eV per atom

---

No. 2
## Li4Zn2HgGe (PBE)

Data for crystalline Li4Zn2HgGe at its relaxed geometry.

a = 4.3233 Å, b = 4.3233 Å, c = 6.5417 Å
α = 90.00°, β = 90.00°, γ = 90.00°
With the nearest neighbours (Å) after each atom.
Element x y z (fractional)
Li: 0.0000 0.0000 0.0000  4 Zn 2.66, 4 Li 2.67
Li: 0.0000 0.5000 0.2386  2 Ge 2.67, 4 Li 2.67-2.76, 2 Hg 2.76
Li: 0.5000 0.0000 0.7614  2 Ge 2.67, 4 Li 2.67-2.76, 2 Hg 2.76
Li: 0.5000 0.5000 0.5000  4 Li 2.76, 4 Zn 2.77, 4 Hg 3.06
Zn: 0.0000 0.5000 0.7636  2 Ge 2.66, 4 Li 2.66-2.77, 2 Hg 2.77
Zn: 0.5000 0.0000 0.2364  2 Ge 2.66, 4 Li 2.66-2.77, 2 Hg 2.77
Hg: 0.0000 0.0000 0.5000  8 Li 2.76-3.06, 4 Zn 2.77
Ge: 0.5000 0.5000 0.0000  4 Zn 2.66, 4 Li 2.67

calculated volume = 122 Å³ per cell
uncorrected energy = -2.205 eV per atom

---

No. 3
## LuHgGe2 (PBE)

Data for crystalline LuHgGe2 at its relaxed geometry.

a = 5.0011 Å, b = 5.0011 Å, c = 5.0011 Å
α = 60.00°, β = 60.00°, γ = 60.00°
With the nearest neighbours (Å) after each atom.
Element x y z (fractional)
Lu: 0.0000 0.0000 0.0000  4 Hg 3.06, 4 Ge 3.06
Hg: 0.7500 0.7500 0.7500  4 Ge 3.06, 4 Lu 3.06
Ge: 0.2500 0.2500 0.2500  4 Ge 3.06, 4 Lu 3.06
Ge: 0.5000 0.5000 0.5000  4 Ge 3.06, 4 Hg 3.06

total magnetization = 0.0 Bohr magnetons per cell
calculated volume = 88 Å³ per cell
uncorrected energy = -3.612 eV per atom

---

No. 4
## MgHg2Ge (PBE)

Data for crystalline MgHg2Ge at its relaxed geometry.

a = 5.0053 Å, b = 5.0053 Å, c = 5.0053 Å
α = 60.00°, β = 60.00°, γ = 60.00°
With the nearest neighbours (Å) after each atom.
Element x y z (fractional)
Mg: 0.0000 0.0000 0.0000  4 Ge 3.07, 4 Hg 3.07
Hg: 0.2500 0.2500 0.2500  4 Hg 3.07, 4 Mg 3.07
Hg: 0.5000 0.5000 0.5000  4 Hg 3.07, 4 Ge 3.07
Ge: 0.7500 0.7500 0.7500  4 Mg 3.07, 4 Hg 3.07

calculated volume = 89 Å³ per cell
uncorrected energy = -1.583 eV per atom

---

No. 5
## Na4MgHgGe2 (PBE)

Data for crystalline Na4MgHgGe2 at its relaxed geometry.

a = 4.8078 Å, b = 4.8078 Å, c = 9.7204 Å
α = 90.00°, β = 90.00°, γ = 120.00°
With the nearest neighbours (Å) after each atom.
Element x y z (fractional)
Na: 0.0000 0.0000 0.1709  4 Na 3.17-3.32, 4 Ge 3.20-3.23, 3 Mg 3.23
Na: 0.0000 0.0000 0.8291  4 Na 3.17-3.32, 4 Ge 3.20-3.23, 3 Mg 3.23
Na: 0.3333 0.6667 0.3282  4 Na 3.17-3.34, 4 Ge 3.19-3.24, 3 Hg 3.24
Na: 0.3333 0.6667 0.6718  4 Na 3.17-3.34, 4 Ge 3.19-3.24, 3 Hg 3.24
Mg: 0.6667 0.3333 0.0000  3 Ge 2.78
Hg: 0.6667 0.3333 0.5000  3 Ge 2.78
Ge: 0.0000 0.0000 0.5000  3 Hg 2.78
Ge: 0.3333 0.6667 0.0000  3 Mg 2.78

calculated volume = 195 Å³ per cell
uncorrected energy = -2.206 eV per atom

---

No. 6
## MgNiHgGe (PBE)

Data for crystalline MgNiHgGe at its relaxed geometry.

a = 4.6429 Å, b = 4.6429 Å, c = 4.6429 Å
α = 60.00°, β = 60.00°, γ = 60.00°
With the nearest neighbours (Å) after each atom.
Element x y z (fractional)
Mg: 0.0000 0.0000 0.0000  4 Ge 2.84, 4 Ni 2.84
Ni: 0.2500 0.2500 0.2500  4 Hg 2.84, 4 Mg 2.84
Hg: 0.5000 0.5000 0.5000  4 Ge 2.84, 4 Ni 2.84
Ge: 0.7500 0.7500 0.7500  4 Hg 2.84, 4 Mg 2.84

offset from the most stable computed form = 2.764 kcal/mol of atoms
total magnetization = 0.0 Bohr magnetons per cell
calculated volume = 71 Å³ per cell
uncorrected energy = -2.834 eV per atom

---

No. 7
## MgNiHgGe (PBE)

Data for crystalline MgNiHgGe at its relaxed geometry.

a = 4.5757 Å, b = 4.5757 Å, c = 4.5757 Å
α = 60.00°, β = 60.00°, γ = 60.00°
With the nearest neighbours (Å) after each atom.
Element x y z (fractional)
Mg: 0.0000 0.0000 0.0000  4 Hg 2.80, 4 Ge 2.80
Ni: 0.5000 0.5000 0.5000  4 Ge 2.80, 4 Hg 2.80
Hg: 0.7500 0.7500 0.7500  4 Ni 2.80, 4 Mg 2.80
Ge: 0.2500 0.2500 0.2500  4 Mg 2.80, 4 Ni 2.80

offset from the most stable computed form = 0.000 kcal/mol of atoms
total magnetization = 0.0 Bohr magnetons per cell
calculated volume = 68 Å³ per cell
uncorrected energy = -2.954 eV per atom

---

No. 8
## MgHgGePt (PBE)

Data for crystalline MgHgGePt at its relaxed geometry.

a = 4.7035 Å, b = 4.7035 Å, c = 4.7035 Å
α = 60.00°, β = 60.00°, γ = 60.00°
With the nearest neighbours (Å) after each atom.
Element x y z (fractional)
Mg: 0.0000 0.0000 0.0000  4 Hg 2.88, 4 Pt 2.88
Hg: 0.7500 0.7500 0.7500  4 Ge 2.88, 4 Mg 2.88
Ge: 0.5000 0.5000 0.5000  4 Hg 2.88, 4 Pt 2.88
Pt: 0.2500 0.2500 0.2500  4 Ge 2.88, 4 Mg 2.88

offset from the most stable computed form = 0.000 kcal/mol of atoms
total magnetization = 0.0 Bohr magnetons per cell
calculated volume = 74 Å³ per cell
uncorrected energy = -3.295 eV per atom